! MnTcSn3, relaxed, DFT PBE; values from VASP
&SYSTEM
  ibrav = 0, nat = 5, ntyp = 3
/
ATOMIC_SPECIES
Mn 54.94 Mn.upf
Tc 98.00 Tc.upf
Sn 118.71 Sn.upf
CELL_PARAMETERS angstrom
5.2036 0.0000 0.0000
0.0000 5.2036 0.0000
0.0000 0.0000 5.2036
ATOMIC_POSITIONS angstrom
Mn 0.0000 0.0000 0.0000
Tc 2.6018 2.6018 2.6018
Sn 0.0000 2.6018 2.6018
Sn 2.6018 0.0000 2.6018
Sn 2.6018 2.6018 0.0000
! Excess energy over the best structure of this formula in the dataset in meV/atom: 0
! SG: Pm-3m, No. 221
! ΔH_f (0 K) in kJ/mol of atoms: 56.3
! Magnetic moment in μB per formula unit: 4.04

! Er2Tm6S3, relaxed, DFT PBE; values from VASP
&SYSTEM
  ibrav = 0, nat = 11, ntyp = 3
/
ATOMIC_SPECIES
Er 167.26 Er.upf
Tm 168.93 Tm.upf
S 32.06 S.upf
CELL_PARAMETERS angstrom
1.8387 1.0616 24.0661
-1.8387 1.0616 24.0661
0.0000 -2.1232 24.0661
ATOMIC_POSITIONS angstrom
Er 0.0000 0.0000 4.1972
Er 0.0000 0.0000 68.0010
Tm 0.0000 0.0000 10.3383
Tm 0.0000 0.0000 22.6902
Tm 0.0000 0.0000 31.0953
Tm 0.0000 0.0000 41.1029
Tm 0.0000 0.0000 49.5080
Tm 0.0000 0.0000 61.8599
S 0.0000 0.0000 15.3358
S 0.0000 0.0000 36.0991
S 0.0000 0.0000 56.8624
! E in eV per atom: -5.407
! SG: R-3m, No. 166
! Magnetic moment in μB per formula unit: 0.00

! PrSmCoIr, relaxed, DFT PBE; values from VASP
&SYSTEM
  ibrav = 0, nat = 4, ntyp = 4
/
ATOMIC_SPECIES
Pr 140.91 Pr.upf
Sm 150.36 Sm.upf
Co 58.93 Co.upf
Ir 192.22 Ir.upf
CELL_PARAMETERS angstrom
0.0000 3.5093 3.5093
3.5093 0.0000 3.5093
3.5093 3.5093 0.0000
ATOMIC_POSITIONS angstrom
Pr 0.0000 0.0000 0.0000
Sm 3.5093 3.5093 3.5093
Co 1.7547 1.7547 1.7547
Ir 5.2640 5.2640 5.2640
! SG: F-43m, No. 216
! ΔH_f (0 K) in kJ/mol of atoms: -27.7
! Magnetic moment in μB per formula unit: 0.59